TbMn2SbO6 | Alexandria via LeMat-Bulk | PBE with a Hubbard U | relaxed; VASP energy = -72.86 eV/cell; V = 124.12 Å³/cell
1.0
5.5716 0.0002 -0.0006
2.7859 4.8254 -0.0010
2.7864 1.6097 4.6161
Tb Mn Sb O
1 2 1 6
direct
0.7952 0.7952 0.6143 Tb
0.5195 0.5195 0.4413 Mn
0.0167 0.0167 0.9501 Mn
0.3058 0.3057 0.0829 Sb
0.6791 0.2481 0.2316 O
0.2480 0.8410 0.2318 O
0.8410 0.6792 0.2317 O
0.3731 0.7153 0.7439 O
0.7154 0.1677 0.7438 O
0.1678 0.3731 0.7438 O